Density functional theory data (GGA-PBE) for a geometry-optimized TmPuSc structure.

Cell and atoms, written as extended XYZ:
```
3
Lattice="5.3508 0.0000 0.0000 -2.6754 4.6339 0.0000 0.0000 0.0000 3.2027" Properties=species:S:1:pos:R:3 pbc="T T T"
Tm 0.0000 0.0000 0.0000
Pu 2.6754 1.5446 1.6014
Sc 0.0000 3.0893 1.6014
```

Output
Calculated formation energy   0.133 eV/atom
Energy above the most stable polymorph in this dataset   27 meV per atom
Total DFT energy (no corrections)   -24.7 eV per formula unit
Volume   26.47 Å³ per atom
Total moment   5.933 μB per formula unit